BaNaPt3: relaxed, PBE.

POSCAR file:
```
BaNaPt3
1.0
5.5233 0.0000 0.0000
0.0000 5.5233 0.0000
0.0000 0.0000 5.5233
Na Ba Pt
1 1 3
Cartesian
2.7616 2.7616 2.7616
0.0000 0.0000 0.0000
0.0000 2.7616 0.0000
0.0000 0.0000 2.7616
2.7616 0.0000 0.0000
```

Properties
crystal system = cubic
DFT total energy = -3.107 eV per atom
symmetry = Pm-3m
E above lowest polymorph = 711 meV per atom

BaNa4Pt2: relaxed, PBE.

POSCAR file:
```
BaNa4Pt2
1.0
-2.5683 -0.3595 3.7587
-3.7207 0.9137 -2.4549
0.6921 -9.7462 -0.4593
Ba Na Pt
1 4 2
Cartesian
0.0000 0.0000 0.0000
-3.9192 -5.8828 -0.4666
-2.2490 -2.6336 -1.7886
-1.6777 -3.3092 1.3111
-0.7796 -6.1989 -1.1256
-3.3049 -0.9984 0.4203
-2.2920 -8.1937 0.4242
```

Properties
crystal system = orthorhombic
DFT total energy = -3.015 eV per atom
symmetry = Cmmm
E above lowest polymorph = 0 meV per atom

Ba2NaPt2: relaxed, PBE.

POSCAR file:
```
Ba2NaPt2
1.0
9.0158 0.0000 0.0000
0.0000 9.0158 0.0000
0.0000 0.0000 3.8022
Na Ba Pt
2 4 4
Cartesian
0.0000 0.0000 0.0000
4.5079 4.5079 0.0000
3.2264 7.7343 0.0000
7.7343 5.7894 0.0000
5.7894 1.2815 0.0000
1.2815 3.2264 0.0000
1.4133 5.9212 1.9011
5.9212 7.6026 1.9011
7.6026 3.0946 1.9011
3.0946 1.4133 1.9011
```

Properties
crystal system = tetragonal
DFT total energy = -3.838 eV per atom
symmetry = P4/mbm
E above lowest polymorph = 152 meV per atom

Ba6Na3Pt: relaxed, PBE.

POSCAR file:
```
Ba6Na3Pt
1.0
0.1283 -8.0359 -1.2192
7.8469 1.1540 -6.7805
8.2891 -2.5258 9.1629
Ba Na Pt
12 6 2
Cartesian
9.1416 -7.6211 6.9515
6.5412 -6.1845 2.8662
5.8162 -5.3841 -1.3904
10.4481 -4.0236 2.5535
9.7231 -3.2232 -1.7031
7.1227 -1.7866 -5.7883
6.5784 -2.0982 1.5578
2.6876 -0.8515 -1.4125
6.7785 -3.0876 6.4951
9.4858 -6.3201 -5.3319
13.5767 -8.5563 2.5757
9.6859 -7.3095 -0.3946
13.1329 -5.6561 -0.1555
3.9876 -3.4410 -3.9999
3.1314 -3.7516 1.3187
6.6297 -0.7127 -2.1446
4.1446 -1.2629 4.5814
9.6346 -8.6950 3.3078
8.1322 -4.7039 0.5816
0.0000 0.0000 0.0000
```

Properties
crystal system = monoclinic
DFT total energy = -2.318 eV per atom
symmetry = P2_1/c